Here is a relaxed structure of BeVNO2 from Alexandria. Energies are from GGA+U.

**N(E_F)**: 0.655 states/eV/atom
**V**: 7.872 A^3/atom
**Size of the total moment**: 0.24 μB/cell
**Total energy**: -6.131 eV/atom

a = 3.336 Å, b = 3.336 Å, c = 3.537 Å
α = 90.00°, β = 90.00°, γ = 90.00°
Space group P4/mmm (No. 123)
Inequivalent atoms, fractional coordinates:
Be (0.000, 0.000, 0.000) [1 per cell]
V (0.500, 0.500, 0.500) [1 per cell]
N (0.000, 0.000, 0.500) [1 per cell]
O (0.000, 0.500, 0.000) [2 per cell]